Record 1
The following is a DFT calculation (PBE) of a relaxed structure of HfMgAgPd2.

Unit cell a=4.8860 b=4.8860 c=5.2007 alpha=90.00 beta=90.00 gamma=90.00
With the nearest neighbours (Å) after each atom.
Space group P4/mmm (No. 123)
Unique sites:
1 Hf 0.0000 0.0000 0.0000 [1 per cell]  4 Pd 2.44, 2 Ag 2.60
2 Mg 0.5000 0.5000 0.5000 [1 per cell]  4 Ag 3.45, 8 Pd 3.57
3 Ag 0.0000 0.0000 0.5000 [1 per cell]  2 Hf 2.60
4 Pd 0.0000 0.5000 0.0000 [2 per cell]  2 Hf 2.44

Values from the calculation:
DOS(E_F), states/eV per cell: 2.9
Formation energy from the elements, meV/atom: 540

---

Record 2
The following is a DFT calculation (PBE) of a relaxed structure of HfMgAgPt.

Unit cell a=6.5984 b=6.5984 c=6.5984 alpha=90.00 beta=90.00 gamma=90.00
With the nearest neighbours (Å) after each atom.
Space group F-43m (No. 216)
Unique sites:
1 Hf 0.0000 0.0000 0.0000 [4 per cell]  4 Pt 2.86, 4 Ag 2.86
2 Mg 0.0000 0.0000 0.5000 [4 per cell]  4 Pt 2.86, 4 Ag 2.86
3 Ag 0.2500 0.2500 0.2500 [4 per cell]  4 Hf 2.86, 4 Mg 2.86
4 Pt 0.2500 0.2500 0.7500 [4 per cell]  4 Hf 2.86, 4 Mg 2.86

Values from the calculation:
DOS(E_F), states/eV per cell: 9.9
Formation energy from the elements, meV/atom: -573

---

Record 3
The following is a DFT calculation (PBE) of a relaxed structure of Hf2MgAgRu.

Unit cell a=4.8521 b=4.8521 c=5.2495 alpha=90.00 beta=90.00 gamma=90.00
With the nearest neighbours (Å) after each atom.
Space group P4/mmm (No. 123)
Unique sites:
1 Hf 0.0000 0.5000 0.0000 [2 per cell]  2 Ru 2.43
2 Mg 0.0000 0.0000 0.5000 [1 per cell]  4 Ag 3.43, 8 Hf 3.57
3 Ag 0.5000 0.5000 0.5000 [1 per cell]  2 Ru 2.62
4 Ru 0.5000 0.5000 0.0000 [1 per cell]  4 Hf 2.43, 2 Ag 2.62

Values from the calculation:
DOS(E_F), states/eV per cell: 3.2
Formation energy from the elements, meV/atom: 419

---

Record 4
The following is a DFT calculation (PBE) of a relaxed structure of HfMgAgSb2.

Unit cell a=5.2925 b=5.2925 c=4.7056 alpha=90.00 beta=90.00 gamma=90.00
With the nearest neighbours (Å) after each atom.
Space group P4/mmm (No. 123)
Unique sites:
1 Hf 0.0000 0.0000 0.0000 [1 per cell]  8 Sb 3.54, 4 Ag 3.74
2 Mg 0.5000 0.5000 0.5000 [1 per cell]  2 Ag 2.35
3 Ag 0.5000 0.5000 0.0000 [1 per cell]  2 Mg 2.35
4 Sb 0.0000 0.5000 0.5000 [2 per cell]  2 Mg 2.65

Values from the calculation:
DOS(E_F), states/eV per cell: 4.1
Raw total energy, eV per cell: -19.0

---

Record 5
The following is a DFT calculation (PBE) of a relaxed structure of HfMgAgSn2.

Unit cell a=5.2698 b=5.2698 c=4.8177 alpha=90.00 beta=90.00 gamma=90.00
With the nearest neighbours (Å) after each atom.
Space group P4/mmm (No. 123)
Unique sites:
1 Hf 0.0000 0.0000 0.0000 [1 per cell]  8 Sn 3.57, 4 Mg 3.73
2 Mg 0.5000 0.5000 0.0000 [1 per cell]  2 Ag 2.41
3 Ag 0.5000 0.5000 0.5000 [1 per cell]  2 Mg 2.41, 4 Sn 2.63
4 Sn 0.0000 0.5000 0.5000 [2 per cell]  2 Ag 2.63

Values from the calculation:
DOS(E_F), states/eV per cell: 4.9
Formation energy from the elements, meV/atom: 637

---

Record 6
The following is a DFT calculation (PBE) of a relaxed structure of YHfMg2Ag.

Unit cell a=5.3875 b=5.3875 c=5.0346 alpha=90.00 beta=90.00 gamma=90.00
With the nearest neighbours (Å) after each atom.
Space group P4/mmm (No. 123)
Unique sites:
1 Y 0.0000 0.0000 0.0000 [1 per cell]  8 Mg 3.69, 4 Ag 3.81
2 Hf 0.5000 0.5000 0.5000 [1 per cell]  2 Ag 2.52, 4 Mg 2.69
3 Mg 0.0000 0.5000 0.5000 [2 per cell]  2 Hf 2.69
4 Ag 0.5000 0.5000 0.0000 [1 per cell]  2 Hf 2.52

Values from the calculation:
DOS(E_F), states/eV per cell: 4.6
Formation energy from the elements, meV/atom: 843

---

Record 7
The following is a DFT calculation (PBE) of a relaxed structure of HfMgZrAg.

Unit cell a=3.2003 b=3.2003 c=8.2638 alpha=90.00 beta=90.00 gamma=90.00
With the nearest neighbours (Å) after each atom.
Space group P4mm (No. 99)
Unique sites:
1 Hf 0.0000 0.0000 0.0000 [1 per cell]  4 Ag 3.02, 4 Zr 3.09, 4 Hf 3.20
2 Mg 0.0000 0.0000 0.5449 [1 per cell]  4 Ag 2.87, 4 Mg 3.20
3 Zr 0.5000 0.5000 0.2539 [1 per cell]  4 Hf 3.09, 4 Zr 3.20, 4 Mg 3.30
4 Ag 0.5000 0.5000 0.7585 [1 per cell]  4 Mg 2.87, 4 Hf 3.02, 4 Ag 3.20

Values from the calculation:
DOS(E_F), states/eV per cell: 1.1
Formation energy from the elements, meV/atom: -119

---

Record 8
The following is a DFT calculation (PBE) of a relaxed structure of HfMnAg2.

Unit cell a=3.8357 b=3.8357 c=20.3377 alpha=90.00 beta=90.00 gamma=90.00
With the nearest neighbours (Å) after each atom.
Space group I-42d (No. 122)
Unique sites:
1 Hf 0.0000 0.0000 0.0000 [4 per cell]  4 Mn 2.71, 4 Ag 2.89
2 Mn 0.0000 0.0000 0.5000 [4 per cell]  4 Hf 2.71, 4 Ag 2.87
3 Ag 0.2415 0.2500 0.6250 [8 per cell]  4 Ag 2.67-2.76, 2 Mn 2.87, 2 Hf 2.89

Values from the calculation:
DOS(E_F), states/eV per cell: 14.3
Formation energy from the elements, meV/atom: 452

---

Record 9
The following is a DFT calculation (PBE) of a relaxed structure of HfMn2Ag.

Unit cell a=6.3418 b=6.3418 c=6.3418 alpha=90.00 beta=90.00 gamma=90.00
With the nearest neighbours (Å) after each atom.
Space group Fm-3m (No. 225)
Unique sites:
1 Hf 0.0000 0.0000 0.0000 [4 per cell]  8 Mn 2.75
2 Mn 0.2500 0.2500 0.2500 [8 per cell]  4 Ag 2.75, 4 Hf 2.75
3 Ag 0.0000 0.0000 0.5000 [4 per cell]  8 Mn 2.75

Values from the calculation:
DOS(E_F), states/eV per cell: 9.2
Formation energy from the elements, meV/atom: 243

---

Record 10
The following is a DFT calculation (PBE) of a relaxed structure of HfMnAg3.

Unit cell a=5.1987 b=5.1987 c=5.1987 alpha=90.00 beta=90.00 gamma=90.00
With the nearest neighbours (Å) after each atom.
Space group Pm-3m (No. 221)
Unique sites:
1 Hf 0.0000 0.0000 0.0000 [1 per cell]  6 Ag 2.60
2 Mn 0.5000 0.5000 0.5000 [1 per cell]  12 Ag 3.68
3 Ag 0.0000 0.0000 0.5000 [3 per cell]  2 Hf 2.60

Values from the calculation:
DOS(E_F), states/eV per cell: 4.2
Formation energy from the elements, meV/atom: 1393

---

Record 11
The following is a DFT calculation (PBE) of a relaxed structure of Hf3Mn2Ag.

Unit cell a=3.1546 b=3.1546 c=10.4086 alpha=90.00 beta=90.00 gamma=90.00
With the nearest neighbours (Å) after each atom.
Space group P4/mmm (No. 123)
Unique sites:
1 Hf 0.0000 0.0000 0.0000 [1 per cell]  8 Mn 2.77, 2 Hf 3.10
2 Hf 0.0000 0.0000 0.2981 [2 per cell]  4 Mn 2.66
3 Mn 0.5000 0.5000 0.1583 [2 per cell]  8 Hf 2.66-2.77
4 Ag 0.5000 0.5000 0.5000 [1 per cell]  8 Hf 3.06, 4 Ag 3.15

Values from the calculation:
DOS(E_F), states/eV per cell: 5.1
Formation energy from the elements, meV/atom: -137

---

Record 12
The following is a DFT calculation (PBE) of a relaxed structure of HfMnAg3.

Unit cell a=4.7078 b=4.7078 c=4.7078 alpha=90.00 beta=90.00 gamma=90.00
With the nearest neighbours (Å) after each atom.
Space group Pm-3m (No. 221)
Unique sites:
1 Hf 0.0000 0.0000 0.0000 [1 per cell]  12 Ag 3.33
2 Mn 0.5000 0.5000 0.5000 [1 per cell]  6 Ag 2.35
3 Ag 0.0000 0.5000 0.5000 [3 per cell]  2 Mn 2.35

Values from the calculation:
DOS(E_F), states/eV per cell: 7.8
Formation energy from the elements, meV/atom: 1296

---

Record 13
The following is a DFT calculation (PBE) of a relaxed structure of Hf5Mn4Ag.

Unit cell a=3.1610 b=3.1610 c=16.7409 alpha=90.00 beta=90.00 gamma=90.00
With the nearest neighbours (Å) after each atom.
Space group P4/mmm (No. 123)
Unique sites:
1 Hf 0.0000 0.0000 0.0000 [1 per cell]  8 Mn 2.74
2 Hf 0.0000 0.0000 0.1904 [2 per cell]  8 Mn 2.75-2.77
3 Hf 0.0000 0.0000 0.3753 [2 per cell]  4 Mn 2.67
4 Mn 0.5000 0.5000 0.0942 [2 per cell]  8 Hf 2.74-2.75
5 Mn 0.5000 0.5000 0.2879 [2 per cell]  8 Hf 2.67-2.77
6 Ag 0.5000 0.5000 0.5000 [1 per cell]  8 Hf 3.06, 4 Ag 3.16

Values from the calculation:
DOS(E_F), states/eV per cell: 10.3
Formation energy from the elements, meV/atom: -134

---

Record 14
The following is a DFT calculation (PBE) of a relaxed structure of Hf2Mn2Ag.

Unit cell a=6.7032 b=6.7032 c=3.7550 alpha=90.00 beta=90.00 gamma=90.00
With the nearest neighbours (Å) after each atom.
Space group P4/mbm (No. 127)
Unique sites:
1 Hf 0.1801 0.3199 0.0000 [4 per cell]  6 Mn 2.74
2 Mn 0.1097 0.6097 0.5000 [4 per cell]  1 Mn 2.08
3 Ag 0.0000 0.0000 0.5000 [2 per cell]  4 Mn 2.72

Values from the calculation:
DOS(E_F), states/eV per cell: 8.4
Formation energy from the elements, meV/atom: 36

---

Record 15
The following is a DFT calculation (PBE) of a relaxed structure of HfMn2Ag.

Unit cell a=3.9539 b=3.9539 c=18.6451 alpha=90.00 beta=90.00 gamma=90.00
With the nearest neighbours (Å) after each atom.
Space group I-42d (No. 122)
Unique sites:
1 Hf 0.0000 0.0000 0.0000 [4 per cell]  4 Mn 2.71, 4 Ag 2.80
2 Mn 0.2459 0.2500 0.1250 [8 per cell]  2 Hf 2.71, 2 Ag 2.72, 4 Mn 2.77-2.82
3 Ag 0.0000 0.0000 0.5000 [4 per cell]  4 Mn 2.72, 4 Hf 2.80

Values from the calculation:
DOS(E_F), states/eV per cell: 23.4
Formation energy from the elements, meV/atom: 615

---

Record 16
The following is a DFT calculation (PBE) of a relaxed structure of HfMnAg2.

Unit cell a=6.4919 b=6.4919 c=6.4919 alpha=90.00 beta=90.00 gamma=90.00
With the nearest neighbours (Å) after each atom.
Space group Fm-3m (No. 225)
Unique sites:
1 Hf 0.0000 0.0000 0.0000 [4 per cell]  8 Ag 2.81
2 Mn 0.0000 0.0000 0.5000 [4 per cell]  8 Ag 2.81
3 Ag 0.2500 0.2500 0.2500 [8 per cell]  4 Hf 2.81, 4 Mn 2.81

Values from the calculation:
DOS(E_F), states/eV per cell: 20.8
Formation energy from the elements, meV/atom: 541

---

Record 17
The following is a DFT calculation (PBE) of a relaxed structure of HfMn2NbAg.

Unit cell a=4.7840 b=4.7840 c=4.9417 alpha=90.00 beta=90.00 gamma=90.00
With the nearest neighbours (Å) after each atom.
Space group P4/mmm (No. 123)
Unique sites:
1 Hf 0.0000 0.0000 0.0000 [1 per cell]  4 Mn 2.39, 2 Nb 2.47
2 Mn 0.0000 0.5000 0.0000 [2 per cell]  2 Hf 2.39
3 Nb 0.0000 0.0000 0.5000 [1 per cell]  2 Hf 2.47
4 Ag 0.5000 0.5000 0.5000 [1 per cell]  4 Nb 3.38, 8 Mn 3.44

Values from the calculation:
DOS(E_F), states/eV per cell: 5.6
Formation energy from the elements, meV/atom: 1518

---

Record 18
The following is a DFT calculation (PBE) of a relaxed structure of HfMnAg2Pd.

Unit cell a=4.9672 b=4.9672 c=4.6090 alpha=90.00 beta=90.00 gamma=90.00
With the nearest neighbours (Å) after each atom.
Space group P4/mmm (No. 123)
Unique sites:
1 Hf 0.0000 0.0000 0.0000 [1 per cell]  8 Ag 3.39, 4 Mn 3.51
2 Mn 0.5000 0.5000 0.0000 [1 per cell]  2 Pd 2.30
3 Ag 0.0000 0.5000 0.5000 [2 per cell]  2 Pd 2.48
4 Pd 0.5000 0.5000 0.5000 [1 per cell]  2 Mn 2.30, 4 Ag 2.48

Values from the calculation:
DOS(E_F), states/eV per cell: 4.9
Formation energy from the elements, meV/atom: 936

---

Record 19
The following is a DFT calculation (PBE) of a relaxed structure of HfSc2MnAg.

Unit cell a=5.0954 b=5.0954 c=5.1552 alpha=90.00 beta=90.00 gamma=90.00
With the nearest neighbours (Å) after each atom.
Space group P4/mmm (No. 123)
Unique sites:
1 Hf 0.0000 0.0000 0.0000 [1 per cell]  2 Ag 2.58
2 Sc 0.0000 0.5000 0.5000 [2 per cell]  2 Ag 2.55
3 Mn 0.5000 0.5000 0.0000 [1 per cell]  4 Hf 3.60, 8 Sc 3.62
4 Ag 0.0000 0.0000 0.5000 [1 per cell]  4 Sc 2.55, 2 Hf 2.58

Values from the calculation:
DOS(E_F), states/eV per cell: 8.3
Formation energy from the elements, meV/atom: 892

---

Record 20
The following is a DFT calculation (PBE) of a relaxed structure of HfMn2AgSe.

Unit cell a=4.3269 b=4.3269 c=4.9278 alpha=90.00 beta=90.00 gamma=90.00
With the nearest neighbours (Å) after each atom.
Space group P4/mmm (No. 123)
Unique sites:
1 Hf 0.0000 0.0000 0.0000 [1 per cell]  2 Se 2.46
2 Mn 0.0000 0.5000 0.5000 [2 per cell]  2 Se 2.16
3 Ag 0.5000 0.5000 0.0000 [1 per cell]  4 Hf 3.06, 8 Mn 3.28
4 Se 0.0000 0.0000 0.5000 [1 per cell]  4 Mn 2.16

Values from the calculation:
DOS(E_F), states/eV per cell: 8.1
Raw total energy, eV per cell: -31.0